1.
{
  "formula": "Mg14AlB",
  "functional": "PBE-GGA",
  "state": "optimized geometry",
  "cell": [[3.205, -5.425, 0.000], [3.205, 5.425, 0.000], [0.000, 0.000, 9.785]],
  "species": ["Mg", "Mg", "Mg", "Mg", "Mg", "Mg", "Mg", "Mg", "Mg", "Mg", "Mg", "Mg", "Mg", "Mg", "Al", "B"],
  "frac_coords": [[0.838, 0.162, 0.000], [0.336, 0.664, 0.000], [0.357, 0.131, 0.500], [0.330, 0.169, 0.000], [0.869, 0.643, 0.500], [0.831, 0.670, 0.000], [0.176, 0.357, 0.286], [0.176, 0.357, 0.714], [0.643, 0.824, 0.286], [0.643, 0.824, 0.714], [0.668, 0.332, 0.250], [0.668, 0.332, 0.750], [0.166, 0.834, 0.255], [0.166, 0.834, 0.745], [0.836, 0.164, 0.500], [0.299, 0.701, 0.500]],
  "dos_at_fermi_per_ev_fu": 7.6,
  "relative_energy_mev_per_atom": 0,
  "volume_a3_per_cell": 340,
  "formation_energy_ev_per_atom": 0.167,
  "total_energy_ev_per_atom": -1.88
}

***

2.
{
  "formula": "InFeMoPt2",
  "functional": "PBE-GGA",
  "state": "optimized geometry",
  "cell": [[4.814, 0.000, 0.000], [0.000, 5.178, 0.000], [0.000, 0.000, 4.814]],
  "species": ["Mo", "Fe", "Pt", "Pt", "In"],
  "frac_coords": [[0.000, 0.000, 0.000], [0.500, 0.500, 0.500], [0.000, 0.000, 0.500], [0.500, 0.000, 0.000], [0.000, 0.500, 0.000]],
  "dos_at_fermi_per_ev_fu": 6.9,
  "volume_a3_per_cell": 120,
  "formation_energy_ev_per_atom": 1.280,
  "total_energy_ev_per_atom": -5.54
}

***

3.
{
  "formula": "Tm3Co2Si3",
  "functional": "PBE-GGA",
  "state": "optimized geometry",
  "cell": [[-5.380, -0.925, 0.499], [-0.660, -0.261, -7.606], [2.317, -13.334, 0.256]],
  "species": ["Tm", "Tm", "Tm", "Tm", "Tm", "Tm", "Tm", "Tm", "Tm", "Tm", "Tm", "Tm", "Co", "Co", "Co", "Co", "Co", "Co", "Co", "Co", "Si", "Si", "Si", "Si", "Si", "Si", "Si", "Si", "Si", "Si", "Si", "Si"],
  "frac_coords": [[0.125, 0.457, 0.388], [0.625, 0.043, 0.612], [0.875, 0.543, 0.888], [0.375, 0.957, 0.112], [0.875, 0.543, 0.612], [0.375, 0.957, 0.388], [0.125, 0.457, 0.112], [0.625, 0.043, 0.888], [0.627, 0.310, 0.250], [0.127, 0.190, 0.750], [0.373, 0.690, 0.750], [0.873, 0.810, 0.250], [0.892, 0.088, 0.411], [0.392, 0.412, 0.589], [0.108, 0.912, 0.911], [0.608, 0.588, 0.089], [0.108, 0.912, 0.589], [0.608, 0.588, 0.411], [0.892, 0.088, 0.089], [0.392, 0.412, 0.911], [0.094, 0.159, 0.250], [0.594, 0.341, 0.750], [0.906, 0.841, 0.750], [0.406, 0.659, 0.250], [0.634, 0.306, 0.460], [0.134, 0.194, 0.540], [0.366, 0.694, 0.960], [0.866, 0.806, 0.040], [0.366, 0.694, 0.540], [0.866, 0.806, 0.460], [0.634, 0.306, 0.040], [0.134, 0.194, 0.960]],
  "dos_at_fermi_per_ev_fu": 4.7,
  "relative_energy_mev_per_atom": 6,
  "volume_a3_per_cell": 567,
  "raw_formation_energy_kj_per_mol_fu": -597,
  "total_energy_ev_per_atom": -6.26
}